1.
Here is crystalline LiCeNpO6 at its relaxed geometry from Alexandria via LeMat-Bulk. Energies are from PBE.

Computed properties:
Theoretical density in Mg/m³: 6.5
Uncorrected formation energy in meV/atom: -2721

Unit cell a=5.3407 b=5.3407 c=9.9539 alpha=90.00 beta=90.00 gamma=120.00
Closest atoms and distances in Å follow each position.
Space group P-31c (No. 163)
One atom of each set of equivalent atoms:
Li: 0.3333 0.6667 0.2500 [2 per cell]  6 O 2.16
Ce: 0.0000 0.0000 0.0000 [2 per cell]  6 O 2.28
Np: 0.3333 0.6667 0.7500 [2 per cell]  6 O 2.02
O: 0.0204 0.3540 0.6361 [12 per cell]  1 Np 2.02, 1 Li 2.16

=====

2.
Here is crystalline LiCaTe at its relaxed geometry from Alexandria via LeMat-Bulk. Energies are from PBE.

Computed properties:
Theoretical density in Mg/m³: 3.3
E above lowest polymorph in meV/atom: 128.1
Uncorrected formation energy in meV/atom: -825

Unit cell a=7.0793 b=7.0793 c=7.0793 alpha=90.00 beta=90.00 gamma=90.00
Closest atoms and distances in Å follow each position.
Space group F-43m (No. 216)
One atom of each set of equivalent atoms:
Li: 0.0000 0.0000 0.0000 [4 per cell]  4 Te 3.07
Ca: 0.0000 0.0000 0.5000 [4 per cell]  4 Te 3.07
Te: 0.2500 0.2500 0.2500 [4 per cell]  4 Ca 3.07, 4 Li 3.07

=====

3.
Here is crystalline MgS2N at its relaxed geometry from Alexandria via LeMat-Bulk. Energies are from PBE.

Computed properties:
Theoretical density in Mg/m³: 2.2
E above lowest polymorph in meV/atom: 0.0
Uncorrected formation energy in meV/atom: 99

Unit cell a=3.9355 b=3.9355 c=17.2202 alpha=90.00 beta=90.00 gamma=120.00
Closest atoms and distances in Å follow each position.
Space group R-3m (No. 166, hexagonal axes)
One atom of each set of equivalent atoms:
Mg: 0.0000 0.0000 0.0000 [3 per cell]  6 S 2.62
S: 0.0000 0.0000 0.4086 [6 per cell]  1 N 1.57
N: 0.0000 0.0000 0.5000 [3 per cell]  2 S 1.57

=====

4.
Here is crystalline BaCuBi at its relaxed geometry from Alexandria via LeMat-Bulk. Energies are from PBE.

Computed properties:
Theoretical density in Mg/m³: 7.4
Formation energy from the elements in eV/atom: 0.172

Unit cell a=4.8667 b=4.8667 c=7.7896 alpha=90.00 beta=90.00 gamma=90.00
Closest atoms and distances in Å follow each position.
Space group P4/nmm (No. 129, origin choice 2)
One atom of each set of equivalent atoms:
Ba: 0.2500 0.7500 0.0000 [2 per cell]  4 Cu 3.41, 4 Ba 3.44, 4 Bi 3.67
Cu: 0.2500 0.2500 0.3061 [2 per cell]  1 Bi 2.66
Bi: 0.2500 0.2500 0.6479 [2 per cell]  1 Cu 2.66

=====

Question: Number 3 is which compound?
Answer: MgS2N

=====

Question: What is the theoretical density in the third record?
Answer: 2.2 Mg/m³

=====

Please write out number 4 again, unchanged.
Here is crystalline BaCuBi at its relaxed geometry from Alexandria via LeMat-Bulk. Energies are from PBE.

Computed properties:
Theoretical density in Mg/m³: 7.4
Formation energy from the elements in eV/atom: 0.172

Unit cell a=4.8667 b=4.8667 c=7.7896 alpha=90.00 beta=90.00 gamma=90.00
Closest atoms and distances in Å follow each position.
Space group P4/nmm (No. 129, origin choice 2)
One atom of each set of equivalent atoms:
Ba: 0.2500 0.7500 0.0000 [2 per cell]  4 Cu 3.41, 4 Ba 3.44, 4 Bi 3.67
Cu: 0.2500 0.2500 0.3061 [2 per cell]  1 Bi 2.66
Bi: 0.2500 0.2500 0.6479 [2 per cell]  1 Cu 2.66

=====

Question: Which of these has the lowest theoretical density?
Answer: MgS2N